A plane-wave DFT calculation with GGA-PBE was carried out for an optimized crystal structure of AcGdCo.

Geometry as CIF:
```
data_AcGdCo
_chemical_formula_sum 'Ac1 Gd1 Co1'
_cell_length_a 4.0789
_cell_length_b 4.0789
_cell_length_c 6.4566
_cell_angle_alpha 90.00
_cell_angle_beta 90.00
_cell_angle_gamma 120.00
_symmetry_space_group_name_H-M 'P 1'
_symmetry_Int_Tables_number 1
loop_
_symmetry_equiv_pos_as_xyz
'x,y,z'
loop_
_atom_site_label
_atom_site_type_symbol
_atom_site_fract_x
_atom_site_fract_y
_atom_site_fract_z
Ac1 Ac 0.0000 0.0000 0.0000
Gd1 Gd 0.3333 0.6667 0.4593
Co1 Co 0.6667 0.3333 0.2488
```

Calculated values
Its density is 7.9 g/cm3. For the formation energy, the calculation gives -0.0287 eV/atom. For the energy above the most stable polymorph in this dataset, the calculation gives 0.000 eV per atom. As for the total energy: -25.381 eV per cell.

=====

A plane-wave DFT calculation with GGA-PBE was carried out for an optimized crystal structure of Ac3Cd8Pb3.

Geometry as CIF:
```
data_Ac3Cd8Pb3
_chemical_formula_sum 'Ac3 Cd8 Pb3'
_cell_length_a 9.4956
_cell_length_b 9.4956
_cell_length_c 9.4956
_cell_angle_alpha 150.17
_cell_angle_beta 105.20
_cell_angle_gamma 82.55
_symmetry_space_group_name_H-M 'P 1'
_symmetry_Int_Tables_number 1
loop_
_symmetry_equiv_pos_as_xyz
'x,y,z'
loop_
_atom_site_label
_atom_site_type_symbol
_atom_site_fract_x
_atom_site_fract_y
_atom_site_fract_z
Ac1 Ac 0.0000 0.0000 0.0000
Ac2 Ac 0.3158 0.3158 0.0000
Ac3 Ac 0.6842 0.6842 0.0000
Cd1 Cd 0.0435 0.6649 0.3786
Cd2 Cd 0.1069 0.8457 0.2611
Cd3 Cd 0.2863 0.6649 0.6214
Cd4 Cd 0.4154 0.1543 0.2611
Cd5 Cd 0.5846 0.8457 0.7389
Cd6 Cd 0.7137 0.3351 0.3786
Cd7 Cd 0.8931 0.1543 0.7389
Cd8 Cd 0.9565 0.3351 0.6214
Pb1 Pb 0.2844 0.5000 0.7844
Pb2 Pb 0.5000 0.0000 0.5000
Pb3 Pb 0.7156 0.5000 0.2156
```

Calculated values
Its density is 9.1 g/cm3. For the formation energy, the calculation gives -0.2963 eV/atom. As for the total energy: -34.920 eV per cell.

=====

A plane-wave DFT calculation with GGA-PBE was carried out for an optimized crystal structure of DyZn2Ag3.

Geometry as CIF:
```
data_DyZn2Ag3
_chemical_formula_sum 'Dy2 Zn4 Ag6'
_cell_length_a 6.5791
_cell_length_b 6.5791
_cell_length_c 5.3931
_cell_angle_alpha 90.00
_cell_angle_beta 90.00
_cell_angle_gamma 85.77
_symmetry_space_group_name_H-M 'P 1'
_symmetry_Int_Tables_number 1
loop_
_symmetry_equiv_pos_as_xyz
'x,y,z'
loop_
_atom_site_label
_atom_site_type_symbol
_atom_site_fract_x
_atom_site_fract_y
_atom_site_fract_z
Dy1 Dy 0.1606 0.8394 0.7500
Dy2 Dy 0.8394 0.1606 0.2500
Zn1 Zn 0.2561 0.2561 0.0000
Zn2 Zn 0.2561 0.2561 0.5000
Zn3 Zn 0.7439 0.7439 0.0000
Zn4 Zn 0.7439 0.7439 0.5000
Ag1 Ag 0.0652 0.5990 0.2500
Ag2 Ag 0.4010 0.9348 0.2500
Ag3 Ag 0.4889 0.5111 0.2500
Ag4 Ag 0.5111 0.4889 0.7500
Ag5 Ag 0.5990 0.0652 0.7500
Ag6 Ag 0.9348 0.4010 0.7500
```

Calculated values
Its density is 8.8 g/cm3. For the formation energy, the calculation gives -0.1445 eV/atom. For the energy above the most stable polymorph in this dataset, the calculation gives 0.052 eV per atom. As for the total energy: -33.141 eV per cell.

=====

A plane-wave DFT calculation with GGA-PBE was carried out for an optimized crystal structure of SbTe2PdW.

Geometry as CIF:
```
data_SbTe2PdW
_chemical_formula_sum 'Sb1 Te2 Pd1 W1'
_cell_length_a 5.2628
_cell_length_b 5.2628
_cell_length_c 5.0369
_cell_angle_alpha 90.00
_cell_angle_beta 90.00
_cell_angle_gamma 90.00
_symmetry_space_group_name_H-M 'P 1'
_symmetry_Int_Tables_number 1
loop_
_symmetry_equiv_pos_as_xyz
'x,y,z'
loop_
_atom_site_label
_atom_site_type_symbol
_atom_site_fract_x
_atom_site_fract_y
_atom_site_fract_z
Sb1 Sb 0.0000 0.0000 0.0000
Te1 Te 0.0000 0.5000 0.5000
Te2 Te 0.5000 0.0000 0.5000
Pd1 Pd 0.0000 0.0000 0.5000
W1 W 0.5000 0.5000 0.0000
```

Calculated values
The uncorrected formation energy comes out at 1.218 eV/atom. Its density is 7.9 g/cm3. For the energy above the most stable polymorph in this dataset, the calculation gives 0.361 eV per atom. As for the total energy: -22.463 eV per cell.